1.
This record from Alexandria via LeMat-Bulk describes an optimized crystal structure of SnSb2Te4. The functional is PBE-GGA.

The space group is Cmcm (No. 63) and the conventional cell measures 4.3550, 14.5042 and 15.0689 Å, with angles of 90.00, 90.00 and 90.00 degrees. The asymmetric unit holds Sn at (0.0000, 0.0845, 0.2500), Sb at (0.0000, 0.3583, 0.0591), Te at (0.0000, 0.0000, 0.0000), Te at (0.0000, 0.2737, 0.6228) and Te at (0.0000, 0.4441, 0.2500).

As for the formation energy from raw total energies: -11.3 kJ/mol of atoms. The density of states at the Fermi level is 0.48 states/eV/f.u. The magnetization comes out at 0.0000 μB/atom. The volume comes out at 33.99 Å³/atom.



2.
This record from Alexandria via LeMat-Bulk describes an optimized crystal structure of SnSbTe3. The functional is PBE-GGA.

The space group is R-3 (No. 148, hexagonal axes) and the conventional cell measures 7.6368, 7.6368 and 21.3574 Å, with angles of 90.00, 90.00 and 120.00 degrees. The asymmetric unit holds Sn at (0.0000, 0.0000, 0.1461), Sb at (0.0000, 0.0000, 0.3290) and Te at (0.0076, 0.3734, 0.9104).

As for the formation energy from raw total energies: -6.6 kJ/mol of atoms. The density of states at the Fermi level is 3.69 states/eV/f.u. The magnetization comes out at 0.0000 μB/atom. The volume comes out at 35.96 Å³/atom.



3.
This record from Alexandria via LeMat-Bulk describes an optimized crystal structure of SnSbTe2. The functional is PBE-GGA.

The space group is I-42d (No. 122) and the conventional cell measures 5.9006, 5.9006 and 17.7801 Å, with angles of 90.00, 90.00 and 90.00 degrees. The asymmetric unit holds Sn at (0.0000, 0.0000, 0.0000), Sb at (0.0000, 0.0000, 0.5000) and Te at (0.2416, 0.2500, 0.6250).

As for the formation energy from raw total energies: 8.6 kJ/mol of atoms. The density of states at the Fermi level is 1.86 states/eV/f.u. The magnetization comes out at 0.0000 μB/atom. The volume comes out at 38.69 Å³/atom.



Q: density of states at the Fermi level of number 1 (SnSb2Te4)?
A: 0.48 states/eV/f.u.



Q: What is the formula in the third record?
A: SnSbTe2



Q: What is the density of states at the Fermi level in the third record?
A: 1.86 states/eV/f.u.